Entry 1:
A plane-wave DFT calculation with GGA-PBE was carried out for crystalline Cs2KNpSe6 at its relaxed geometry.

DOS at the Fermi energy: 28.8 states/eV/cell
formation energy from raw total energies: -799 meV per atom
total moment: 8.2 μB/cell
total DFT energy (no corrections): -4.465 eV per atom

Geometry as CIF:
```
data_Cs2KNpSe6
_chemical_formula_sum 'Cs8 K4 Np4 Se24'
_cell_length_a 11.668
_cell_length_b 11.668
_cell_length_c 11.668
_cell_angle_alpha 90.00
_cell_angle_beta 90.00
_cell_angle_gamma 90.00
_space_group_name_H-M_alt 'F m -3 m'
_space_group_IT_number 225
_space_group_name_Hall '-F 4 2 3'
loop_
_atom_site_label
_atom_site_type_symbol
_atom_site_fract_x
_atom_site_fract_y
_atom_site_fract_z
Cs1 Cs 0.250 0.250 0.250
K1 K 0.000 0.000 0.000
Np1 Np 0.000 0.000 0.500
Se1 Se 0.000 0.000 0.276
```


Entry 2:
A plane-wave DFT calculation with GGA-PBE was carried out for crystalline Tb2CoSi4Ir3 at its relaxed geometry.

DOS at the Fermi energy: 5.6 states/eV/cell
formation energy from raw total energies: -970 meV per atom
total moment: 0.0 μB/cell
total DFT energy (no corrections): -7.434 eV per atom

Geometry as CIF:
```
data_Tb2CoSi4Ir3
_chemical_formula_sum 'Tb2 Co1 Si4 Ir3'
_cell_length_a 4.090
_cell_length_b 4.090
_cell_length_c 9.871
_cell_angle_alpha 90.00
_cell_angle_beta 90.00
_cell_angle_gamma 90.00
_space_group_name_H-M_alt 'P -4 m 2'
_space_group_IT_number 115
_space_group_name_Hall 'P -4 -2'
loop_
_atom_site_label
_atom_site_type_symbol
_atom_site_fract_x
_atom_site_fract_y
_atom_site_fract_z
Tb1 Tb 0.000 0.500 0.250
Co1 Co 0.000 0.000 0.500
Si1 Si 0.000 0.000 0.000
Si2 Si 0.000 0.500 0.626
Si3 Si 0.500 0.500 0.000
Ir1 Ir 0.000 0.500 0.869
Ir2 Ir 0.500 0.500 0.500
```


Entry 3:
A plane-wave DFT calculation with GGA-PBE was carried out for crystalline Sm6Ho12Sc at its relaxed geometry.

DOS at the Fermi energy: 74.3 states/eV/cell
energy above the most stable polymorph in this dataset: 201 meV per atom
total moment: 0.0 μB/cell
total DFT energy (no corrections): -4.361 eV per atom

Geometry as CIF:
```
data_Sm6Ho12Sc
_chemical_formula_sum 'Sm18 Ho36 Sc3'
_cell_length_a 16.3663
_cell_length_b 16.3663
_cell_length_c 8.2554
_cell_angle_alpha 90.00
_cell_angle_beta 90.00
_cell_angle_gamma 120.00
_space_group_name_H-M_alt 'R -3 m'
_space_group_IT_number 166
_space_group_name_Hall '-R 3 2"'
loop_
_atom_site_label
_atom_site_type_symbol
_atom_site_fract_x
_atom_site_fract_y
_atom_site_fract_z
Sm1 Sm 0.1051 0.2102 0.0710
Ho1 Ho 0.0000 0.3846 0.0000
Ho2 Ho 0.1045 0.2089 0.6285
Sc1 Sc 0.0000 0.0000 0.5000
```